DFT (PBE) results for a relaxed structure of Ce5TlAu.

Output
* DFT formation energy: -0.114 eV per atom

Geometry as extended XYZ:
```
14
Lattice="5.488 -3.275 0.000 5.488 3.275 0.000 -4.541 0.000 10.544" Properties=species:S:1:pos:R:3 pbc="T T T"
Ce -0.341 1.247 7.076
Ce 2.082 2.386 7.908
Ce -0.615 0.640 9.754
Ce 1.655 -0.640 4.482
Ce 1.929 -1.247 1.803
Ce 4.505 1.247 8.741
Ce 4.779 0.640 6.063
Ce 7.050 -0.640 0.791
Ce 4.352 -2.386 2.636
Ce 6.776 -1.247 3.469
Tl 4.352 0.897 2.636
Tl 2.082 -0.897 7.908
Au 0.000 0.000 0.000
Au -2.270 0.000 5.272
```